1.
{"formula": "Pr12CoHg6", "functional": "PBE", "state": "optimized geometry", "rho_g_cm3": 8.06, "ef_ev_per_fu": -4.11, "lattice": [[6.2316, 3.5978, 4.5251], [-6.2316, 3.5978, 4.5251], [0.0000, -7.1957, 4.5251]], "species": ["Pr", "Pr", "Pr", "Pr", "Pr", "Pr", "Pr", "Pr", "Pr", "Pr", "Pr", "Pr", "Co", "Hg", "Hg", "Hg", "Hg", "Hg", "Hg"], "frac_coords": [[0.0288, 0.9190, 0.6889], [0.0810, 0.3111, 0.9712], [0.1980, 0.4235, 0.5400], [0.3111, 0.9712, 0.0810], [0.4235, 0.5400, 0.1980], [0.4600, 0.8020, 0.5765], [0.5400, 0.1980, 0.4235], [0.5765, 0.4600, 0.8020], [0.6889, 0.0288, 0.9190], [0.8020, 0.5765, 0.4600], [0.9190, 0.6889, 0.0288], [0.9712, 0.0810, 0.3111], [0.0000, 0.0000, 0.0000], [0.1455, 0.7396, 0.3499], [0.2604, 0.6501, 0.8545], [0.3499, 0.1455, 0.7396], [0.6501, 0.8545, 0.2604], [0.7396, 0.3499, 0.1455], [0.8545, 0.2604, 0.6501]]}

2.
{"formula": "Pr2Co2Hg", "functional": "PBE", "state": "optimized geometry", "rho_g_cm3": 8.80, "ef_ev_per_fu": -1.14, "lattice": [[1.9716, -7.0074, 0.0000], [1.9716, 7.0074, 0.0000], [0.0000, 0.0000, 4.1011]], "species": ["Pr", "Pr", "Co", "Co", "Hg"], "frac_coords": [[0.1339, 0.8661, 0.0000], [0.8661, 0.1339, 0.0000], [0.2889, 0.7111, 0.5000], [0.7111, 0.2889, 0.5000], [0.5000, 0.5000, 0.5000]]}

3.
{"formula": "Pr6CoHg", "functional": "PBE", "state": "optimized geometry", "e_above_lowest_polymorph_ev_per_atom": 0.083, "rho_g_cm3": 6.57, "ef_ev_per_fu": 0.62, "lattice": [[6.7243, -4.9585, 0.0000], [6.7243, 4.9585, 0.0000], [-3.1104, 0.0000, 8.3796]], "species": ["Pr", "Pr", "Pr", "Pr", "Pr", "Pr", "Pr", "Pr", "Pr", "Pr", "Pr", "Pr", "Co", "Co", "Hg", "Hg"], "frac_coords": [[0.0994, 0.0994, 0.4175], [0.1469, 0.1469, 0.9737], [0.2012, 0.5531, 0.8523], [0.2038, 0.5985, 0.2966], [0.4015, 0.7962, 0.7034], [0.4469, 0.7988, 0.1477], [0.5531, 0.2012, 0.8523], [0.5985, 0.2038, 0.2966], [0.7962, 0.4015, 0.7034], [0.7988, 0.4469, 0.1477], [0.8531, 0.8531, 0.0263], [0.9006, 0.9006, 0.5825], [0.0000, 0.5000, 0.0000], [0.5000, 0.0000, 0.0000], [0.0000, 0.5000, 0.5000], [0.5000, 0.0000, 0.5000]]}

4.
{"formula": "Pr6Co2Hg", "functional": "PBE", "state": "optimized geometry", "e_above_lowest_polymorph_ev_per_atom": 0.000, "rho_g_cm3": 7.64, "ef_ev_per_fu": -1.33, "lattice": [[-4.8213, 5.1044, 5.1429], [4.8213, -5.1044, 5.1429], [4.8213, 5.1044, -5.1429]], "species": ["Pr", "Pr", "Pr", "Pr", "Pr", "Pr", "Pr", "Pr", "Pr", "Pr", "Pr", "Pr", "Co", "Co", "Co", "Co", "Hg", "Hg"], "frac_coords": [[0.0288, 0.2319, 0.7969], [0.1807, 0.2856, 0.4663], [0.1807, 0.7144, 0.8951], [0.3248, 0.0118, 0.6870], [0.3248, 0.6378, 0.3130], [0.4350, 0.2319, 0.2031], [0.5650, 0.7681, 0.7969], [0.6752, 0.3622, 0.6870], [0.6752, 0.9882, 0.3130], [0.8193, 0.2856, 0.1049], [0.8193, 0.7144, 0.5337], [0.9712, 0.7681, 0.2031], [0.1112, 0.6112, 0.5000], [0.3429, 0.0000, 0.3429], [0.6571, 0.0000, 0.6571], [0.8888, 0.3888, 0.5000], [0.0000, 0.0000, 0.0000], [0.5000, 0.5000, 0.0000]]}

5.
{"formula": "Pr2CoHg", "functional": "PBE", "state": "optimized geometry", "e_above_lowest_polymorph_ev_per_atom": 0.000, "rho_g_cm3": 8.91, "ef_ev_per_fu": -0.75, "lattice": [[3.5838, 0.0000, 0.0000], [0.0000, 3.5838, 0.0000], [0.0000, 0.0000, 7.8531]], "species": ["Pr", "Pr", "Co", "Hg"], "frac_coords": [[0.0000, 0.0000, 0.2180], [0.0000, 0.0000, 0.7820], [0.5000, 0.5000, 0.0000], [0.5000, 0.5000, 0.5000]]}

6.
{"formula": "Pr8CoHg2", "functional": "PBE", "state": "optimized geometry", "e_above_lowest_polymorph_ev_per_atom": 0.000, "rho_g_cm3": 7.65, "ef_ev_per_fu": -1.64, "lattice": [[9.4392, -2.4764, 0.0000], [9.4392, 2.4764, 0.0000], [-0.3837, 0.0000, 7.3710]], "species": ["Pr", "Pr", "Pr", "Pr", "Pr", "Pr", "Pr", "Pr", "Co", "Hg", "Hg"], "frac_coords": [[0.0069, 0.0069, 0.2744], [0.2151, 0.2151, 0.8126], [0.3625, 0.3625, 0.4979], [0.4063, 0.4063, 0.0127], [0.5937, 0.5937, 0.9873], [0.6375, 0.6375, 0.5021], [0.7849, 0.7849, 0.1874], [0.9931, 0.9931, 0.7256], [0.5000, 0.5000, 0.5000], [0.1820, 0.1820, 0.2464], [0.8180, 0.8180, 0.7536]]}